VASP calculation (PBE) on an optimized crystal structure of CeTm2Sb3.

Cell lengths 7.612, 7.612, 7.601 Å; angles 99.63, 99.63, 120.00 degrees
Each line ends with the local moment (μB).
Fractional coordinates of all 12 atoms:
Tm 0.502 0.498 0.500  0.00
Tm 0.333 0.667 0.000  0.00
Tm 0.833 0.167 0.500  0.00
Tm 0.164 0.836 0.500  0.00
Sb 0.920 0.582 0.744  -0.01
Sb 0.747 0.752 0.256  -0.01
Sb 0.575 0.908 0.742  -0.01
Sb 0.248 0.253 0.744  -0.01
Sb 0.092 0.425 0.258  -0.01
Sb 0.418 0.080 0.256  -0.01
Ce 0.667 0.333 0.000  0.72
Ce 0.999 0.001 0.000  0.72

Properties
Raw formation energy in meV/atom: -1057
DOS at the Fermi energy in states/eV/f.u.: 6.50